Record 1
Material: TaTe2
Method: DFT, PBE
State: optimized geometry

Values from the calculation:
SG: C2/m, No. 12
Formation energy (no corrections) in eV/atom: -0.364
Raw total energy in eV/atom: -6.409

a b c (Å): 9.449 9.449 9.626
angles (deg): 71.78 71.78 70.84
Element x y z (fractional)
1 Ta 0.301 0.979 0.713
2 Ta 0.021 0.699 0.287
3 Ta 0.699 0.021 0.287
4 Ta 0.979 0.301 0.713
5 Ta 0.363 0.363 0.288
6 Ta 0.637 0.637 0.712
7 Ta 0.695 0.305 0.000
8 Ta 0.305 0.695 0.000
9 Ta 0.000 0.000 0.000
10 Te 0.375 0.043 0.382
11 Te 0.957 0.625 0.618
12 Te 0.625 0.957 0.618
13 Te 0.043 0.375 0.382
14 Te 0.295 0.295 0.617
15 Te 0.705 0.705 0.383
16 Te 0.313 0.990 0.986
17 Te 0.010 0.687 0.014
18 Te 0.687 0.010 0.014
19 Te 0.992 0.992 0.306
20 Te 0.008 0.008 0.694
21 Te 0.320 0.662 0.305
22 Te 0.338 0.680 0.695
23 Te 0.680 0.338 0.695
24 Te 0.662 0.320 0.305
25 Te 0.633 0.633 0.989
26 Te 0.367 0.367 0.011
27 Te 0.990 0.313 0.986

---

Record 2
Material: CuIrOs
Method: DFT, PBE
State: optimized geometry

Values from the calculation:
SG: I4mm, No. 107
Energy of formation in eV/atom: 0.17
Raw total energy in eV/atom: -7.889

a b c (Å): 5.900 5.900 5.900
angles (deg): 153.24 153.24 38.20
Element x y z (fractional)
1 Cu 0.001 0.001 0.000
2 Ir 0.330 0.330 0.000
3 Os 0.670 0.670 0.000

---

> Look up the raw total energy of the second one.

-7.889 eV/atom

---

Please write out number 2 again, unchanged.
Material: CuIrOs
Method: DFT, PBE
State: optimized geometry

Values from the calculation:
SG: I4mm, No. 107
Energy of formation in eV/atom: 0.17
Raw total energy in eV/atom: -7.889

a b c (Å): 5.900 5.900 5.900
angles (deg): 153.24 153.24 38.20
Element x y z (fractional)
1 Cu 0.001 0.001 0.000
2 Ir 0.330 0.330 0.000
3 Os 0.670 0.670 0.000